Hf3Nb after structural relaxation, computed with PBE.

Cell and atoms, written as CIF:
```
data_Hf3Nb
_space_group_name_H-M_alt 'I m m 2'
_space_group_IT_number 44
_space_group_name_Hall 'I 2 -2'
_cell_length_a 3.0489
_cell_length_b 10.0316
_cell_length_c 5.5857
_cell_angle_alpha 90.00
_cell_angle_beta 90.00
_cell_angle_gamma 90.00
loop_
_atom_site_label
_atom_site_type_symbol
_atom_site_fract_x
_atom_site_fract_y
_atom_site_fract_z
Hf1 Hf 0.0000 0.0000 0.0000
Hf2 Hf 0.0000 0.2489 0.3080
Nb1 Nb 0.0000 0.5000 0.0292
```

Computed properties:
DOS at the Fermi energy	7.61	states/eV/cell
E_form	0.095	eV per atom
VASP energy	-9.8878	eV per atom



HfNb after structural relaxation, computed with PBE.

Cell and atoms, written as CIF:
```
data_HfNb
_space_group_name_H-M_alt 'P m -3 n'
_space_group_IT_number 223
_space_group_name_Hall '-P 4n 2 3'
_cell_length_a 7.6665
_cell_length_b 7.6665
_cell_length_c 7.6665
_cell_angle_alpha 90.00
_cell_angle_beta 90.00
_cell_angle_gamma 90.00
loop_
_atom_site_label
_atom_site_type_symbol
_atom_site_fract_x
_atom_site_fract_y
_atom_site_fract_z
Hf1 Hf 0.0000 0.2500 0.5000
Nb1 Nb 0.0000 0.5000 0.2500
```

Computed properties:
DOS at the Fermi energy	21.30	states/eV/cell
E_form	2.705	eV per atom
VASP energy	-7.3063	eV per atom



Hf4Nb after structural relaxation, computed with PBE.

Cell and atoms, written as CIF:
```
data_Hf4Nb
_space_group_name_H-M_alt 'P m -3 m'
_space_group_IT_number 221
_space_group_name_Hall '-P 4 2 3'
_cell_length_a 5.0238
_cell_length_b 5.0238
_cell_length_c 5.0238
_cell_angle_alpha 90.00
_cell_angle_beta 90.00
_cell_angle_gamma 90.00
loop_
_atom_site_label
_atom_site_type_symbol
_atom_site_fract_x
_atom_site_fract_y
_atom_site_fract_z
Hf1 Hf 0.0000 0.0000 0.0000
Hf2 Hf 0.0000 0.5000 0.5000
Nb1 Nb 0.5000 0.5000 0.5000
```

Computed properties:
relative energy among the computed polymorphs	4.418	eV per formula unit
DOS at the Fermi energy	5.82	states/eV/cell
E_form	0.983	eV per atom
VASP energy	-8.9940	eV per atom



HfNb after structural relaxation, computed with PBE.

Cell and atoms, written as CIF:
```
data_HfNb
_space_group_name_H-M_alt 'P 4/n m m'
_space_group_IT_number 129
_cell_length_a 3.3860
_cell_length_b 3.3860
_cell_length_c 7.0530
_cell_angle_alpha 90.00
_cell_angle_beta 90.00
_cell_angle_gamma 90.00
loop_
_space_group_symop_operation_xyz
'x,y,z'
'-x,-y,-z'
'-y+1/2,x,z'
'y+1/2,-x,-z'
'-x+1/2,-y+1/2,z'
'x+1/2,y+1/2,-z'
'y,-x+1/2,z'
'-y,x+1/2,-z'
'x+1/2,-y,-z'
'-x+1/2,y,z'
'-y,-x,-z'
'y,x,z'
'-x,y+1/2,-z'
'x,-y+1/2,z'
'y+1/2,x+1/2,-z'
'-y+1/2,-x+1/2,z'
loop_
_atom_site_label
_atom_site_type_symbol
_atom_site_fract_x
_atom_site_fract_y
_atom_site_fract_z
Hf1 Hf 0.2500 0.2500 0.1440
Nb1 Nb 0.2500 0.2500 0.6030
```

Computed properties:
DOS at the Fermi energy	5.28	states/eV/cell
E_form	0.024	eV per atom
VASP energy	-9.9875	eV per atom



HfNb after structural relaxation, computed with PBE.

Cell and atoms, written as CIF:
```
data_HfNb
_space_group_name_H-M_alt 'P -1'
_space_group_IT_number 2
_space_group_name_Hall '-P 1'
_cell_length_a 2.9617
_cell_length_b 5.6389
_cell_length_c 5.6720
_cell_angle_alpha 116.63
_cell_angle_beta 99.51
_cell_angle_gamma 100.23
loop_
_atom_site_label
_atom_site_type_symbol
_atom_site_fract_x
_atom_site_fract_y
_atom_site_fract_z
Hf1 Hf 0.2310 0.0146 0.2621
Nb1 Nb 0.2234 0.5062 0.7487
```

Computed properties:
DOS at the Fermi energy	5.43	states/eV/cell
E_form	0.097	eV per atom
VASP energy	-9.9149	eV per atom



HfNb after structural relaxation, computed with PBE.

Cell and atoms, written as CIF:
```
data_HfNb
_space_group_name_H-M_alt 'C m m m'
_space_group_IT_number 65
_space_group_name_Hall '-C 2 2'
_cell_length_a 6.3850
_cell_length_b 7.1740
_cell_length_c 3.5660
_cell_angle_alpha 90.00
_cell_angle_beta 90.00
_cell_angle_gamma 90.00
loop_
_atom_site_label
_atom_site_type_symbol
_atom_site_fract_x
_atom_site_fract_y
_atom_site_fract_z
Hf1 Hf 0.0000 0.2280 0.0000
Nb1 Nb 0.2092 0.5000 0.5000
```

Computed properties:
DOS at the Fermi energy	8.37	states/eV/cell
E_form	0.062	eV per atom
VASP energy	-9.9493	eV per atom



HfNb after structural relaxation, computed with PBE.

Cell and atoms, written as CIF:
```
data_HfNb
_space_group_name_H-M_alt 'F d d d'
_space_group_IT_number 70
_cell_length_a 7.7842
_cell_length_b 8.3994
_cell_length_c 10.4744
_cell_angle_alpha 90.00
_cell_angle_beta 90.00
_cell_angle_gamma 90.00
loop_
_space_group_symop_operation_xyz
'x,y,z'
'-x,-y,-z'
'-x+1/4,-y+1/4,z'
'x+1/4,y+1/4,-z'
'x,-y+1/4,-z+1/4'
'-x,y+1/4,z+1/4'
'-x+1/4,y,-z+1/4'
'x+1/4,-y,z+1/4'
'x,y+1/2,z+1/2'
'-x,-y+1/2,-z+1/2'
'-x+1/4,-y+3/4,z+1/2'
'x+1/4,y+3/4,-z+1/2'
'x,-y+3/4,-z+3/4'
'-x,y+3/4,z+3/4'
'-x+1/4,y+1/2,-z+3/4'
'x+1/4,-y+1/2,z+3/4'
'x+1/2,y,z+1/2'
'-x+1/2,-y,-z+1/2'
'-x+3/4,-y+1/4,z+1/2'
'x+3/4,y+1/4,-z+1/2'
'x+1/2,-y+1/4,-z+3/4'
'-x+1/2,y+1/4,z+3/4'
'-x+3/4,y,-z+3/4'
'x+3/4,-y,z+3/4'
'x+1/2,y+1/2,z'
'-x+1/2,-y+1/2,-z'
'-x+3/4,-y+3/4,z'
'x+3/4,y+3/4,-z'
'x+1/2,-y+3/4,-z+1/4'
'-x+1/2,y+3/4,z+1/4'
'-x+3/4,y+1/2,-z+1/4'
'x+3/4,-y+1/2,z+1/4'
loop_
_atom_site_label
_atom_site_type_symbol
_atom_site_fract_x
_atom_site_fract_y
_atom_site_fract_z
Hf1 Hf 0.1250 0.3038 0.1250
Nb1 Nb 0.0413 0.3750 0.8750
```

Computed properties:
DOS at the Fermi energy	40.60	states/eV/cell
E_form	0.545	eV per atom
VASP energy	-9.4666	eV per atom



HfNb after structural relaxation, computed with PBE.

Cell and atoms, written as CIF:
```
data_HfNb
_space_group_name_H-M_alt 'P 63/m m c'
_space_group_IT_number 194
_space_group_name_Hall '-P 6c 2c'
_cell_length_a 4.8139
_cell_length_b 4.8139
_cell_length_c 5.4281
_cell_angle_alpha 90.00
_cell_angle_beta 90.00
_cell_angle_gamma 120.00
loop_
_atom_site_label
_atom_site_type_symbol
_atom_site_fract_x
_atom_site_fract_y
_atom_site_fract_z
Hf1 Hf 0.3333 0.6667 0.2500
Nb1 Nb 0.3333 0.6667 0.7500
```

Computed properties:
DOS at the Fermi energy	6.28	states/eV/cell
E_form	1.691	eV per atom
VASP energy	-8.3206	eV per atom



HfNb after structural relaxation, computed with PBE.

Cell and atoms, written as CIF:
```
data_HfNb
_space_group_name_H-M_alt 'F -4 3 m'
_space_group_IT_number 216
_space_group_name_Hall 'F -4 2 3'
_cell_length_a 6.2076
_cell_length_b 6.2076
_cell_length_c 6.2076
_cell_angle_alpha 90.00
_cell_angle_beta 90.00
_cell_angle_gamma 90.00
loop_
_atom_site_label
_atom_site_type_symbol
_atom_site_fract_x
_atom_site_fract_y
_atom_site_fract_z
Hf1 Hf 0.0000 0.0000 0.0000
Nb1 Nb 0.2500 0.2500 0.2500
```

Computed properties:
DOS at the Fermi energy	13.03	states/eV/cell
E_form	2.584	eV per atom
VASP energy	-7.4276	eV per atom



HfNb after structural relaxation, computed with PBE.

Cell and atoms, written as CIF:
```
data_HfNb
_space_group_name_H-M_alt 'P m m n'
_space_group_IT_number 59
_cell_length_a 4.6636
_cell_length_b 10.3991
_cell_length_c 4.9732
_cell_angle_alpha 90.00
_cell_angle_beta 90.00
_cell_angle_gamma 90.00
loop_
_space_group_symop_operation_xyz
'x,y,z'
'-x,-y,-z'
'-x+1/2,-y+1/2,z'
'x+1/2,y+1/2,-z'
'x+1/2,-y,-z'
'-x+1/2,y,z'
'-x,y+1/2,-z'
'x,-y+1/2,z'
loop_
_atom_site_label
_atom_site_type_symbol
_atom_site_fract_x
_atom_site_fract_y
_atom_site_fract_z
Hf1 Hf 0.2500 0.0881 0.0346
Hf2 Hf 0.2500 0.2500 0.5374
Nb1 Nb 0.2500 0.5771 0.5191
Nb2 Nb 0.2500 0.7500 0.0264
```

Computed properties:
DOS at the Fermi energy	15.23	states/eV/cell
E_form	0.083	eV per atom
VASP energy	-9.9288	eV per atom



HfNb after structural relaxation, computed with PBE.

Cell and atoms, written as CIF:
```
data_HfNb
_space_group_name_H-M_alt 'P 42/m n m'
_space_group_IT_number 136
_space_group_name_Hall '-P 4n 2n'
_cell_length_a 5.5328
_cell_length_b 5.5328
_cell_length_c 5.6848
_cell_angle_alpha 90.00
_cell_angle_beta 90.00
_cell_angle_gamma 90.00
loop_
_atom_site_label
_atom_site_type_symbol
_atom_site_fract_x
_atom_site_fract_y
_atom_site_fract_z
Hf1 Hf 0.1922 0.1922 0.0000
Nb1 Nb 0.1862 0.1862 0.5000
```

Computed properties:
DOS at the Fermi energy	9.16	states/eV/cell
E_form	0.769	eV per atom
VASP energy	-9.2430	eV per atom



HfNb4 after structural relaxation, computed with PBE.

Cell and atoms, written as CIF:
```
data_HfNb4
_space_group_name_H-M_alt 'I 4/m m m'
_space_group_IT_number 139
_space_group_name_Hall '-I 4 2'
_cell_length_a 3.9792
_cell_length_b 3.9792
_cell_length_c 13.0144
_cell_angle_alpha 90.00
_cell_angle_beta 90.00
_cell_angle_gamma 90.00
loop_
_atom_site_label
_atom_site_type_symbol
_atom_site_fract_x
_atom_site_fract_y
_atom_site_fract_z
Hf1 Hf 0.0000 0.0000 0.0000
Nb1 Nb 0.0000 0.0000 0.4015
Nb2 Nb 0.0000 0.5000 0.2500
```

Computed properties:
relative energy among the computed polymorphs	0.000	eV per formula unit
DOS at the Fermi energy	8.78	states/eV/cell
E_form	0.529	eV per atom
VASP energy	-9.5170	eV per atom



- Number 8 is which compound?
  HfNb



Repeat the second record exactly.
HfNb after structural relaxation, computed with PBE.

Cell and atoms, written as CIF:
```
data_HfNb
_space_group_name_H-M_alt 'P m -3 n'
_space_group_IT_number 223
_space_group_name_Hall '-P 4n 2 3'
_cell_length_a 7.6665
_cell_length_b 7.6665
_cell_length_c 7.6665
_cell_angle_alpha 90.00
_cell_angle_beta 90.00
_cell_angle_gamma 90.00
loop_
_atom_site_label
_atom_site_type_symbol
_atom_site_fract_x
_atom_site_fract_y
_atom_site_fract_z
Hf1 Hf 0.0000 0.2500 0.5000
Nb1 Nb 0.0000 0.5000 0.2500
```

Computed properties:
DOS at the Fermi energy	21.30	states/eV/cell
E_form	2.705	eV per atom
VASP energy	-7.3063	eV per atom



- What is the formula in the third record?
  Hf4Nb



What did the tenth record say?
HfNb after structural relaxation, computed with PBE.

Cell and atoms, written as CIF:
```
data_HfNb
_space_group_name_H-M_alt 'P m m n'
_space_group_IT_number 59
_cell_length_a 4.6636
_cell_length_b 10.3991
_cell_length_c 4.9732
_cell_angle_alpha 90.00
_cell_angle_beta 90.00
_cell_angle_gamma 90.00
loop_
_space_group_symop_operation_xyz
'x,y,z'
'-x,-y,-z'
'-x+1/2,-y+1/2,z'
'x+1/2,y+1/2,-z'
'x+1/2,-y,-z'
'-x+1/2,y,z'
'-x,y+1/2,-z'
'x,-y+1/2,z'
loop_
_atom_site_label
_atom_site_type_symbol
_atom_site_fract_x
_atom_site_fract_y
_atom_site_fract_z
Hf1 Hf 0.2500 0.0881 0.0346
Hf2 Hf 0.2500 0.2500 0.5374
Nb1 Nb 0.2500 0.5771 0.5191
Nb2 Nb 0.2500 0.7500 0.0264
```

Computed properties:
DOS at the Fermi energy	15.23	states/eV/cell
E_form	0.083	eV per atom
VASP energy	-9.9288	eV per atom